## TaNiO2 (GGA+U)

Data for a relaxed structure of TaNiO2.

abc: 3.9037 3.9037 12.1047
angles: 90.00 90.00 90.00
Space group I-42d (No. 122)
Symmetry-distinct sites (fractional):
Ta 0.0000 0.0000 0.0000 x4
Ni 0.0000 0.0000 0.5000 x4
O 0.2221 0.2500 0.1250 x8

Calculated values
Mass density (g/cm³): 9.78
Density of states at the Fermi level (states/eV per atom): 0.29
Energy (eV per atom): -7.068
Spin magnetization (μB per cell): 0.00
Offset from the most stable computed form (kJ per mole of atoms): 38.4